VASP calculation (GGA-PBE) on a relaxed MgZn11Co crystal.

Lattice parameters (Å, degrees): 6.8543 6.8543 6.4622 97.77 97.77 135.86
Last column: nearest neighbours and their distance in Å.
Positions (direct):
Mg (0.0000, 0.0000, 0.0000)  14 Zn 3.02-3.33, 2 Co 3.23
Zn (0.0000, 0.5000, 0.0000)  10 Zn 2.53-2.71
Zn (0.0105, 0.6752, 0.6454)  1 Co 2.57, 6 Zn 2.68-2.74
Zn (0.2698, 0.4812, 0.7837)  1 Co 2.52, 7 Zn 2.53-2.71
Zn (0.3248, 0.9895, 0.3546)  1 Co 2.57, 6 Zn 2.68-2.74
Zn (0.4812, 0.2698, 0.7837)  1 Co 2.52, 7 Zn 2.53-2.71
Zn (0.5000, 0.0000, 0.0000)  10 Zn 2.53-2.71
Zn (0.5000, 0.5000, 0.5000)  8 Zn 2.53-2.71, 2 Co 2.58
Zn (0.5188, 0.7302, 0.2163)  1 Co 2.52, 7 Zn 2.53-2.71
Zn (0.6752, 0.0105, 0.6454)  1 Co 2.57, 6 Zn 2.68-2.74
Zn (0.7302, 0.5188, 0.2163)  1 Co 2.52, 7 Zn 2.53-2.71
Zn (0.9895, 0.3248, 0.3546)  1 Co 2.57, 6 Zn 2.68-2.74
Co (0.0000, 0.0000, 0.5000)  10 Zn 2.52-2.58

Results
electronic total energy	-1.779	eV per atom
density of states at the Fermi level	0.399	states/eV per atom
energy relative to the elements	-40	kJ/mol of formula units
calculated density	6.8	g/cm³
crystal system	monoclinic
space-group type	No. 12

---

VASP calculation (GGA-PBE) on a relaxed MgZn3Co crystal.

Lattice parameters (Å, degrees): 4.5577 4.5577 4.5577 90.00 90.00 90.00
Last column: nearest neighbours and their distance in Å.
Positions (direct):
Mg (0.0000, 0.0000, 0.0000)  12 Zn 3.22
Zn (0.0000, 0.5000, 0.5000)  2 Co 2.28
Zn (0.5000, 0.0000, 0.5000)  2 Co 2.28
Zn (0.5000, 0.5000, 0.0000)  2 Co 2.28
Co (0.5000, 0.5000, 0.5000)  6 Zn 2.28

Results
electronic total energy	-2.226	eV per atom
density of states at the Fermi level	0.697	states/eV per atom
energy relative to the elements	134	kJ/mol of formula units
calculated density	4.9	g/cm³
crystal system	cubic
space-group type	No. 221

---

VASP calculation (GGA-PBE) on a relaxed Mg3ZnCo crystal.

Lattice parameters (Å, degrees): 4.7858 4.7858 4.7858 90.00 90.00 90.00
Last column: nearest neighbours and their distance in Å.
Positions (direct):
Mg (0.0000, 0.0000, 0.5000)  2 Co 2.39
Mg (0.0000, 0.5000, 0.0000)  2 Co 2.39
Mg (0.5000, 0.0000, 0.0000)  2 Co 2.39
Zn (0.5000, 0.5000, 0.5000)  12 Mg 3.38
Co (0.0000, 0.0000, 0.0000)  6 Mg 2.39

Results
electronic total energy	-2.248	eV per atom
density of states at the Fermi level	0.600	states/eV per atom
energy relative to the elements	186	kJ/mol of formula units
calculated density	3.0	g/cm³
crystal system	cubic
space-group type	No. 221

---

VASP calculation (GGA-PBE) on a relaxed MgZn6Co6 crystal.

Lattice parameters (Å, degrees): 6.4635 6.4635 6.4635 135.67 98.24 98.13
Last column: nearest neighbours and their distance in Å.
Positions (direct):
Mg (0.0000, 0.0000, 0.0000)  8 Zn 2.77-2.92
Zn (0.1838, 0.6838, 0.5000)  6 Co 2.50-2.56, 2 Zn 2.79
Zn (0.3273, 0.0000, 0.3273)  6 Co 2.53-2.55, 1 Mg 2.77
Zn (0.3442, 0.3442, 0.0000)  6 Co 2.56-2.57, 3 Zn 2.64-2.79
Zn (0.6558, 0.6558, 0.0000)  6 Co 2.56-2.57, 3 Zn 2.64-2.79
Zn (0.6727, 0.0000, 0.6727)  6 Co 2.53-2.55, 1 Mg 2.77
Zn (0.8162, 0.3162, 0.5000)  6 Co 2.50-2.56, 2 Zn 2.79
Co (0.0000, 0.0000, 0.5000)  4 Co 2.44, 6 Zn 2.50-2.57
Co (0.0000, 0.5000, 0.0000)  4 Co 2.44, 6 Zn 2.50-2.57
Co (0.2400, 0.5000, 0.7400)  4 Co 2.44, 6 Zn 2.55-2.56
Co (0.5000, 0.0000, 0.0000)  4 Co 2.44, 6 Zn 2.50-2.57
Co (0.5000, 0.5000, 0.5000)  4 Co 2.44, 6 Zn 2.50-2.57
Co (0.7600, 0.5000, 0.2600)  4 Co 2.44, 6 Zn 2.55-2.56

Results
electronic total energy	-4.010	eV per atom
density of states at the Fermi level	0.606	states/eV per atom
energy relative to the elements	-25	kJ/mol of formula units
calculated density	7.3	g/cm³
crystal system	orthorhombic
space-group type	No. 71